No. 1
Computed, not measured: Sm3PBr7 after structural relaxation at the PBE-GGA level of DFT.

CIF file:
```
data_Sm3PBr7
_space_group_name_H-M_alt 'P 3 m 1'
_space_group_IT_number 156
_cell_length_a 8.6301
_cell_length_b 8.6301
_cell_length_c 6.8230
_cell_angle_alpha 90.00
_cell_angle_beta 90.00
_cell_angle_gamma 120.00
loop_
_space_group_symop_operation_xyz
'x,y,z'
'-y,x-y,z'
'-x+y,-x,z'
'-y,-x,z'
'-x+y,y,z'
'x,x-y,z'
loop_
_atom_site_label
_atom_site_type_symbol
_atom_site_fract_x
_atom_site_fract_y
_atom_site_fract_z
Sm1 Sm 0.1706 0.3412 0.0000
P1 P 0.3333 0.6667 0.1981
Br1 Br 0.0000 0.0000 0.7534
Br2 Br 0.0213 0.5107 0.7586
Br3 Br 0.3162 0.1581 0.2198
```

No. 2
Computed, not measured: Sm3P2Br after structural relaxation at the PBE-GGA level of DFT.

CIF file:
```
data_Sm3P2Br
_space_group_name_H-M_alt 'C m c m'
_space_group_IT_number 63
_space_group_name_Hall '-C 2c 2'
_cell_length_a 4.1075
_cell_length_b 15.5100
_cell_length_c 11.5273
_cell_angle_alpha 90.00
_cell_angle_beta 90.00
_cell_angle_gamma 90.00
loop_
_atom_site_label
_atom_site_type_symbol
_atom_site_fract_x
_atom_site_fract_y
_atom_site_fract_z
Sm1 Sm 0.0000 0.0043 0.2500
Sm2 Sm 0.0000 0.3759 0.5142
P1 P 0.0000 0.0000 0.0000
P2 P 0.0000 0.3721 0.7500
Br1 Br 0.0000 0.3537 0.2500
```

E_form (uncorrected)
In order: -1.5919; -1.1832
Unit: eV/atom
Calculated total energy
In order: -48.788; -134.997
Unit: eV per cell